Entry 1:
! NbInBi2 PBE relaxed; values from VASP
! Mass density in g cm⁻³: 6.698
! ΔE_f in eV/f.u.: 2.4
! SG: I-42d, No. 122
&SYSTEM
  ibrav = 0, nat = 8, ntyp = 3
/
ATOMIC_SPECIES
Nb 92.91 Nb.upf
In 114.82 In.upf
Bi 208.98 Bi.upf
ATOMIC_POSITIONS crystal
Nb 0.0000 0.0000 0.0000
Nb 0.7500 0.2500 0.5000
In 0.2500 0.7500 0.5000
In 0.5000 0.5000 0.0000
Bi 0.0833 0.6250 0.9583
Bi 0.3750 0.3333 0.4583
Bi 0.6667 0.1250 0.0417
Bi 0.8750 0.9167 0.5417
CELL_PARAMETERS angstrom
-3.4018 3.4018 6.7018
3.4018 -3.4018 6.7018
3.4018 3.4018 -6.7018


Entry 2:
! AlFe3H PBE relaxed; values from VASP
! Mass density in g cm⁻³: 6.209
! E_tot in eV per atom: -6.27
! SG: I-4m2, No. 119
&SYSTEM
  ibrav = 0, nat = 10, ntyp = 3
/
ATOMIC_SPECIES
Al 26.98 Al.upf
Fe 55.84 Fe.upf
H 1.01 H.upf
ATOMIC_POSITIONS crystal
Al 0.1470 0.1470 0.0000
Al 0.8530 0.8530 0.0000
Fe 0.1282 0.3859 0.7423
Fe 0.1350 0.6350 0.5000
Fe 0.3650 0.8650 0.5000
Fe 0.6141 0.3564 0.7423
Fe 0.6141 0.8718 0.2577
Fe 0.6436 0.3859 0.2577
H 0.5000 0.5000 0.0000
H 0.7500 0.2500 0.5000
CELL_PARAMETERS angstrom
-2.3913 2.3913 4.5721
2.3913 -2.3913 4.5721
2.3913 2.3913 -4.5721


Entry 3:
! InSiAu2 PBE relaxed; values from VASP
! Energy relative to the elements, uncorrected in eV/f.u.: 0.57
! Mass density in g cm⁻³: 11.517
! SG: C2/m, No. 12
&SYSTEM
  ibrav = 0, nat = 4, ntyp = 3
/
ATOMIC_SPECIES
In 114.82 In.upf
Si 28.09 Si.upf
Au 196.97 Au.upf
ATOMIC_POSITIONS crystal
In 0.0000 0.0000 0.0000
Si 0.5000 0.5000 0.0000
Au 0.0000 0.5000 0.5000
Au 0.5000 0.0000 0.5000
CELL_PARAMETERS angstrom
2.8510 -3.4531 0.0000
2.8510 3.4531 0.0000
-0.2676 0.0000 3.9312


Entry 4:
! ScCdAu2 PBE relaxed; values from VASP
! Mass density in g cm⁻³: 11.643
! ΔE_f in eV/f.u.: -2.3
! SG: Pmmm, No. 47
&SYSTEM
  ibrav = 0, nat = 4, ntyp = 3
/
ATOMIC_SPECIES
Sc 44.96 Sc.upf
Cd 112.41 Cd.upf
Au 196.97 Au.upf
ATOMIC_POSITIONS crystal
Sc 0.0000 0.0000 0.0000
Cd 0.0000 0.0000 0.5000
Au 0.5000 0.5000 0.2339
Au 0.5000 0.5000 0.7661
CELL_PARAMETERS angstrom
3.4113 0.0000 0.0000
0.0000 3.4234 0.0000
0.0000 0.0000 6.7327


Entry 5:
! FeCuSb2 PBE relaxed; values from VASP
! Energy relative to the elements, uncorrected in eV/f.u.: 1.52
! Mass density in g cm⁻³: 8.162
! SG: I4/mmm, No. 139
&SYSTEM
  ibrav = 0, nat = 4, ntyp = 3
/
ATOMIC_SPECIES
Fe 55.84 Fe.upf
Cu 63.55 Cu.upf
Sb 121.76 Sb.upf
ATOMIC_POSITIONS crystal
Fe 0.0000 0.0000 0.0000
Cu 0.5000 0.5000 0.0000
Sb 0.2500 0.7500 0.5000
Sb 0.7500 0.2500 0.5000
CELL_PARAMETERS angstrom
-2.2386 2.2386 3.6832
2.2386 -2.2386 3.6832
2.2386 2.2386 -3.6832


Entry 6:
! MnInHg PBE relaxed; values from VASP
! Mass density in g cm⁻³: 9.115
! ΔE_f in eV/f.u.: 0.9
! SG: F-43m, No. 216
&SYSTEM
  ibrav = 0, nat = 3, ntyp = 3
/
ATOMIC_SPECIES
Mn 54.94 Mn.upf
In 114.82 In.upf
Hg 200.59 Hg.upf
ATOMIC_POSITIONS crystal
Mn 0.0000 0.0000 0.0000
In 0.7500 0.7500 0.7500
Hg 0.2500 0.2500 0.2500
CELL_PARAMETERS angstrom
0.0000 3.2312 3.2312
3.2312 0.0000 3.2312
3.2312 3.2312 0.0000


Entry 7:
! K3CaCd PBE relaxed; values from VASP
! Mass density in g cm⁻³: 1.478
! ΔE_f in eV/f.u.: 1.1
! SG: Pm-3m, No. 221
&SYSTEM
  ibrav = 0, nat = 5, ntyp = 3
/
ATOMIC_SPECIES
K 39.10 K.upf
Ca 40.08 Ca.upf
Cd 112.41 Cd.upf
ATOMIC_POSITIONS crystal
K 0.0000 0.0000 0.5000
K 0.0000 0.5000 0.0000
K 0.5000 0.0000 0.0000
Ca 0.5000 0.5000 0.5000
Cd 0.0000 0.0000 0.0000
CELL_PARAMETERS angstrom
6.7169 0.0000 0.0000
0.0000 6.7169 0.0000
0.0000 0.0000 6.7169


Entry 8:
! TbZn2Pd3 PBE relaxed; values from VASP
! Mass density in g cm⁻³: 9.715
! ΔE_f in eV/f.u.: -4.2
! SG: P6_3/mmc, No. 194
&SYSTEM
  ibrav = 0, nat = 12, ntyp = 3
/
ATOMIC_SPECIES
Tb 158.93 Tb.upf
Zn 65.41 Zn.upf
Pd 106.42 Pd.upf
ATOMIC_POSITIONS crystal
Tb 0.0000 0.0000 0.2500
Tb 0.0000 0.0000 0.7500
Zn 0.3333 0.6667 0.0807
Zn 0.3333 0.6667 0.4193
Zn 0.6667 0.3333 0.5807
Zn 0.6667 0.3333 0.9193
Pd 0.0000 0.0000 0.0000
Pd 0.0000 0.0000 0.5000
Pd 0.3333 0.6667 0.6291
Pd 0.3333 0.6667 0.8709
Pd 0.6667 0.3333 0.1291
Pd 0.6667 0.3333 0.3709
CELL_PARAMETERS angstrom
4.4132 0.0000 0.0000
-2.2066 3.8219 0.0000
0.0000 0.0000 12.3435


Question: The lowest mass density belongs to which entry?
Answer: K3CaCd